Pm7Y3Ho, relaxed, DFT PBE-GGA; density = 6.1 g/cm3; energy relative to the lowest polymorph listed for this composition = 0.0000 eV/atom
1.0
9.590 -3.611 0.000
9.590 3.611 0.000
-5.458 0.000 11.294
Pm Y Ho
14 6 2
direct
0.079 0.585 0.971 Pm
0.081 0.583 0.470 Pm
0.225 0.775 0.750 Pm
0.336 0.343 0.224 Pm
0.343 0.336 0.724 Pm
0.415 0.921 0.529 Pm
0.417 0.919 0.030 Pm
0.583 0.081 0.970 Pm
0.585 0.079 0.471 Pm
0.657 0.664 0.276 Pm
0.664 0.657 0.776 Pm
0.775 0.225 0.250 Pm
0.919 0.417 0.530 Pm
0.921 0.415 0.029 Pm
0.168 0.169 0.275 Y
0.169 0.168 0.775 Y
0.500 0.500 0.000 Y
0.500 0.500 0.500 Y
0.831 0.832 0.225 Y
0.832 0.831 0.725 Y
0.000 0.000 0.000 Ho
0.000 0.000 0.500 Ho

=====

Cd2TcP, relaxed, DFT PBE-GGA; total DFT energy (no corrections) = -15.76 eV/f.u.; density = 8.3 g/cm3
1.0
-2.047 2.047 4.213
2.047 -2.047 4.213
2.047 2.047 -4.213
Cd Tc P
2 1 1
direct
0.000 0.000 0.000 Cd
0.750 0.250 0.500 Cd
0.500 0.500 0.000 Tc
0.250 0.750 0.500 P

=====

AlZnF2, relaxed, DFT PBE-GGA; energy relative to the elements, uncorrected = -1.487 eV per atom; density = 2.9 g/cm3; energy relative to the lowest polymorph listed for this composition = 0.1484 eV/atom
1.0
1.580 0.912 8.589
-1.580 0.912 8.589
0.000 -1.825 8.589
Al Zn F
1 1 2
direct
0.000 0.000 0.000 Al
0.500 0.500 0.500 Zn
0.372 0.372 0.372 F
0.628 0.628 0.628 F

=====

Ni2TeOs, relaxed, DFT PBE-GGA; energy relative to the elements, uncorrected = 0.540 eV per atom; density = 11.9 g/cm3
1.0
1.463 0.845 8.168
-1.463 0.845 8.168
0.000 -1.690 8.168
Ni Te Os
2 1 1
direct
0.246 0.246 0.246 Ni
0.754 0.754 0.754 Ni
0.000 0.000 0.000 Te
0.500 0.500 0.500 Os

=====

AcPuPt2O8, relaxed, DFT PBE-GGA; energy relative to the elements, uncorrected = -1.220 eV per atom; density = 7.4 g/cm3
1.0
6.053 0.000 0.000
-3.026 5.242 0.000
0.000 0.000 7.029
Ac Pu Pt O
1 1 2 8
direct
0.000 0.000 0.000 Ac
0.000 0.000 0.500 Pu
0.333 0.667 0.231 Pt
0.667 0.333 0.769 Pt
0.147 0.295 0.301 O
0.147 0.853 0.301 O
0.295 0.147 0.699 O
0.333 0.667 0.963 O
0.667 0.333 0.037 O
0.705 0.853 0.301 O
0.853 0.147 0.699 O
0.853 0.705 0.699 O

=====

Si2TcTe, relaxed, DFT PBE-GGA; energy relative to the elements, uncorrected = 0.132 eV per atom; density = 5.8 g/cm3
1.0
3.366 0.000 0.000
0.000 3.364 0.000
-0.046 0.000 7.104
Si Tc Te
2 1 1
direct
0.000 0.000 0.000 Si
0.500 0.500 0.000 Si
0.496 0.000 0.720 Tc
0.993 0.500 0.511 Te

=====

Mg2InSnHg5, relaxed, DFT PBE-GGA; total DFT energy (no corrections) = -12.04 eV/f.u.; density = 9.6 g/cm3
1.0
1.736 -10.120 0.000
1.736 10.120 0.000
0.000 0.000 12.712
Mg In Sn Hg
4 2 2 10
direct
0.092 0.908 0.500 Mg
0.150 0.850 0.110 Mg
0.850 0.150 0.610 Mg
0.908 0.092 0.000 Mg
0.231 0.769 0.725 In
0.769 0.231 0.225 In
0.405 0.595 0.204 Sn
0.595 0.405 0.704 Sn
0.012 0.988 0.850 Hg
0.288 0.712 0.004 Hg
0.331 0.669 0.420 Hg
0.378 0.622 0.800 Hg
0.467 0.533 0.571 Hg
0.533 0.467 0.071 Hg
0.622 0.378 0.300 Hg
0.669 0.331 0.920 Hg
0.712 0.288 0.504 Hg
0.988 0.012 0.350 Hg

=====

KFeSi2, relaxed, DFT PBE-GGA; energy relative to the elements, uncorrected = 0.045 eV per atom; density = 3.1 g/cm3; energy relative to the lowest polymorph listed for this composition = 0.0000 eV/atom
1.0
3.851 -1.529 0.000
3.851 1.529 0.000
-1.107 0.000 6.893
K Fe Si
1 1 2
direct
0.000 0.000 0.000 K
0.500 0.500 0.500 Fe
0.226 0.226 0.631 Si
0.774 0.774 0.369 Si

=====

PmDy3Au4, relaxed, DFT PBE-GGA; total DFT energy (no corrections) = -38.38 eV/f.u.; density = 12.4 g/cm3
1.0
2.558 1.477 8.412
-2.558 1.477 8.412
0.000 -2.953 8.412
Pm Dy Au
1 3 4
direct
0.000 0.000 0.000 Pm
0.249 0.249 0.249 Dy
0.500 0.500 0.500 Dy
0.751 0.751 0.751 Dy
0.127 0.127 0.127 Au
0.378 0.378 0.378 Au
0.622 0.622 0.622 Au
0.873 0.873 0.873 Au

=====

CdGa2Pb8, relaxed, DFT PBE-GGA; total DFT energy (no corrections) = -36.14 eV/f.u.; density = 9.9 g/cm3
1.0
8.817 -2.402 0.000
8.817 2.402 0.000
-2.069 0.000 7.534
Cd Ga Pb
1 2 8
direct
0.000 0.000 0.000 Cd
0.271 0.271 0.370 Ga
0.729 0.729 0.630 Ga
0.100 0.100 0.466 Pb
0.182 0.182 0.912 Pb
0.359 0.359 0.807 Pb
0.456 0.456 0.265 Pb
0.544 0.544 0.735 Pb
0.641 0.641 0.193 Pb
0.818 0.818 0.088 Pb
0.900 0.900 0.534 Pb

=====

Tl8GaSn2, relaxed, DFT PBE-GGA; total DFT energy (no corrections) = -28.80 eV/f.u.; density = 9.0 g/cm3
1.0
6.401 -4.900 0.000
6.401 4.900 0.000
-1.748 0.000 5.718
Tl Ga Sn
8 1 2
direct
0.103 0.103 0.831 Tl
0.151 0.674 0.680 Tl
0.326 0.849 0.320 Tl
0.370 0.370 0.005 Tl
0.630 0.630 0.995 Tl
0.674 0.151 0.680 Tl
0.849 0.326 0.320 Tl
0.897 0.897 0.169 Tl
0.500 0.500 0.500 Ga
0.260 0.260 0.434 Sn
0.740 0.740 0.566 Sn

=====

TbTcC, relaxed, DFT PBE-GGA; density = 9.2 g/cm3; energy relative to the lowest polymorph listed for this composition = 0.1980 eV/atom
1.0
3.527 0.000 0.000
-1.763 3.054 0.000
0.000 0.000 4.498
Tb Tc C
1 1 1
direct
0.000 0.000 0.000 Tb
0.667 0.333 0.504 Tc
0.333 0.667 0.508 C

=====

Q: Among the records above, which one has the highest density?
A: PmDy3Au4

=====

What did the first record say?
Pm7Y3Ho, relaxed, DFT PBE-GGA; density = 6.1 g/cm3; energy relative to the lowest polymorph listed for this composition = 0.0000 eV/atom
1.0
9.590 -3.611 0.000
9.590 3.611 0.000
-5.458 0.000 11.294
Pm Y Ho
14 6 2
direct
0.079 0.585 0.971 Pm
0.081 0.583 0.470 Pm
0.225 0.775 0.750 Pm
0.336 0.343 0.224 Pm
0.343 0.336 0.724 Pm
0.415 0.921 0.529 Pm
0.417 0.919 0.030 Pm
0.583 0.081 0.970 Pm
0.585 0.079 0.471 Pm
0.657 0.664 0.276 Pm
0.664 0.657 0.776 Pm
0.775 0.225 0.250 Pm
0.919 0.417 0.530 Pm
0.921 0.415 0.029 Pm
0.168 0.169 0.275 Y
0.169 0.168 0.775 Y
0.500 0.500 0.000 Y
0.500 0.500 0.500 Y
0.831 0.832 0.225 Y
0.832 0.831 0.725 Y
0.000 0.000 0.000 Ho
0.000 0.000 0.500 Ho